[1]
The following is a DFT calculation (PBE) of a relaxed Ce3Zn7Ga2 crystal.

Values from the calculation:
Calculated formation energy ... -16 kJ/mol of atoms

Lattice parameters (Å, degrees): 14.636 14.636 14.636 163.62 163.62 23.25
Element x y z (fractional)
1 Ce 0.000 0.000 0.000
2 Ce 0.168 0.168 0.000
3 Ce 0.832 0.832 0.000
4 Zn 0.080 0.580 0.500
5 Zn 0.273 0.273 0.000
6 Zn 0.420 0.920 0.500
7 Zn 0.500 0.500 0.000
8 Zn 0.580 0.080 0.500
9 Zn 0.727 0.727 0.000
10 Zn 0.920 0.420 0.500
11 Ga 0.363 0.363 0.000
12 Ga 0.637 0.637 0.000



[2]
The following is a DFT calculation (PBE) of a relaxed Ce3Zn7Ga4 crystal.

Values from the calculation:
Calculated formation energy ... -37 kJ/mol of atoms

Lattice parameters (Å, degrees): 8.314 8.314 9.089 123.04 123.04 31.01
Element x y z (fractional)
1 Ce 0.000 0.000 0.000
2 Ce 0.295 0.295 0.296
3 Ce 0.705 0.705 0.704
4 Zn 0.000 0.000 0.500
5 Zn 0.145 0.145 0.426
6 Zn 0.346 0.346 0.987
7 Zn 0.499 0.499 0.682
8 Zn 0.501 0.501 0.318
9 Zn 0.654 0.654 0.013
10 Zn 0.855 0.855 0.574
11 Ga 0.145 0.145 0.862
12 Ga 0.346 0.346 0.711
13 Ga 0.654 0.654 0.289
14 Ga 0.855 0.855 0.138



[3]
The following is a DFT calculation (PBE) of a relaxed CeZn2Ga crystal.

Values from the calculation:
Calculated formation energy ... -14 kJ/mol of atoms

Lattice parameters (Å, degrees): 3.351 3.351 7.000 90.00 90.00 90.00
Element x y z (fractional)
1 Ce 0.000 0.000 0.000
2 Zn 0.500 0.500 0.295
3 Zn 0.500 0.500 0.705
4 Ga 0.000 0.000 0.500



[4]
The following is a DFT calculation (PBE) of a relaxed Ce2Zn2Ga crystal.

Values from the calculation:
Calculated formation energy ... -33 kJ/mol of atoms

Lattice parameters (Å, degrees): 5.718 5.718 9.669 107.88 107.88 46.54
Element x y z (fractional)
1 Ce 0.079 0.079 0.370
2 Ce 0.190 0.190 0.051
3 Ce 0.810 0.810 0.949
4 Ce 0.921 0.921 0.630
5 Zn 0.386 0.386 0.381
6 Zn 0.495 0.495 0.863
7 Zn 0.505 0.505 0.137
8 Zn 0.614 0.614 0.619
9 Ga 0.240 0.240 0.712
10 Ga 0.760 0.760 0.288



[5]
The following is a DFT calculation (PBE) of a relaxed CeZn9Ga2 crystal.

Values from the calculation:
Calculated formation energy ... -2 kJ/mol of atoms

Lattice parameters (Å, degrees): 8.566 8.566 3.332 90.00 90.00 120.00
Element x y z (fractional)
1 Ce 0.000 0.000 0.000
2 Zn 0.000 0.500 0.000
3 Zn 0.183 0.367 0.500
4 Zn 0.183 0.817 0.500
5 Zn 0.367 0.183 0.500
6 Zn 0.500 0.000 0.000
7 Zn 0.500 0.500 0.000
8 Zn 0.633 0.817 0.500
9 Zn 0.817 0.183 0.500
10 Zn 0.817 0.633 0.500
11 Ga 0.333 0.667 0.000
12 Ga 0.667 0.333 0.000



[6]
The following is a DFT calculation (PBE) of a relaxed CeZnGa crystal.

Values from the calculation:
Calculated formation energy ... 5 kJ/mol of atoms

Lattice parameters (Å, degrees): 8.199 8.199 8.199 20.86 20.86 20.86
Element x y z (fractional)
1 Ce 0.000 0.000 0.000
2 Zn 0.128 0.128 0.128
3 Ga 0.556 0.556 0.556



[7]
The following is a DFT calculation (PBE) of a relaxed Ce3ZnGa crystal.

Values from the calculation:
E above lowest polymorph ... 314 meV/atom
Calculated formation energy ... 4 kJ/mol of atoms

Lattice parameters (Å, degrees): 8.516 8.516 5.134 90.00 90.00 136.15
Element x y z (fractional)
1 Ce 0.000 0.000 0.000
2 Ce 0.000 0.000 0.500
3 Ce 0.132 0.434 0.750
4 Ce 0.434 0.132 0.250
5 Ce 0.566 0.868 0.750
6 Ce 0.868 0.566 0.250
7 Zn 0.177 0.823 0.750
8 Zn 0.823 0.177 0.250
9 Ga 0.458 0.542 0.250
10 Ga 0.542 0.458 0.750



[8]
The following is a DFT calculation (PBE) of a relaxed Ce12ZnGa6 crystal.

Values from the calculation:
Calculated formation energy ... -12 kJ/mol of atoms

Lattice parameters (Å, degrees): 8.527 8.527 8.527 109.40 109.40 109.40
Element x y z (fractional)
1 Ce 0.000 0.372 0.628
2 Ce 0.000 0.628 0.372
3 Ce 0.183 0.183 0.466
4 Ce 0.183 0.466 0.183
5 Ce 0.372 0.000 0.628
6 Ce 0.372 0.628 0.000
7 Ce 0.466 0.183 0.183
8 Ce 0.534 0.817 0.817
9 Ce 0.628 0.000 0.372
10 Ce 0.628 0.372 0.000
11 Ce 0.817 0.534 0.817
12 Ce 0.817 0.817 0.534
13 Zn 0.500 0.500 0.500
14 Ga 0.160 0.813 0.813
15 Ga 0.187 0.187 0.840
16 Ga 0.187 0.840 0.187
17 Ga 0.813 0.160 0.813
18 Ga 0.813 0.813 0.160
19 Ga 0.840 0.187 0.187



[9]
The following is a DFT calculation (PBE) of a relaxed CeZn2Ga4 crystal.

Values from the calculation:
Calculated formation energy ... -23 kJ/mol of atoms

Lattice parameters (Å, degrees): 6.749 6.749 4.434 90.00 90.00 138.39
Element x y z (fractional)
1 Ce 0.000 0.000 0.000
2 Zn 0.405 0.595 0.500
3 Zn 0.595 0.405 0.500
4 Ga 0.178 0.822 0.500
5 Ga 0.304 0.696 0.000
6 Ga 0.696 0.304 0.000
7 Ga 0.822 0.178 0.500



[10]
The following is a DFT calculation (PBE) of a relaxed CeZn5Ga7 crystal.

Values from the calculation:
Calculated formation energy ... -13 kJ/mol of atoms

Lattice parameters (Å, degrees): 6.968 6.968 6.968 131.75 99.53 99.70
Element x y z (fractional)
1 Ce 0.000 0.000 0.000
2 Zn 0.005 0.002 0.501
3 Zn 0.005 0.504 0.003
4 Zn 0.225 0.725 0.500
5 Zn 0.501 0.002 0.997
6 Zn 0.501 0.504 0.499
7 Ga 0.205 0.505 0.701
8 Ga 0.353 0.002 0.351
9 Ga 0.355 0.355 0.000
10 Ga 0.650 0.650 0.000
11 Ga 0.652 0.002 0.649
12 Ga 0.783 0.283 0.500
13 Ga 0.804 0.505 0.299



[11]
The following is a DFT calculation (PBE) of a relaxed Ce3Zn2Ga9 crystal.

Values from the calculation:
Calculated formation energy ... -43 kJ/mol of atoms

Lattice parameters (Å, degrees): 8.400 8.400 8.400 150.46 106.89 80.76
Element x y z (fractional)
1 Ce 0.000 0.000 0.000
2 Ce 0.318 0.318 0.000
3 Ce 0.682 0.682 0.000
4 Zn 0.285 0.500 0.785
5 Zn 0.715 0.500 0.215
6 Ga 0.033 0.661 0.372
7 Ga 0.134 0.858 0.275
8 Ga 0.290 0.661 0.628
9 Ga 0.417 0.142 0.275
10 Ga 0.500 0.000 0.500
11 Ga 0.583 0.858 0.725
12 Ga 0.710 0.339 0.372
13 Ga 0.866 0.142 0.725
14 Ga 0.967 0.339 0.628



[12]
The following is a DFT calculation (PBE) of a relaxed CeZnGa crystal.

Values from the calculation:
Calculated formation energy ... -42 kJ/mol of atoms

Lattice parameters (Å, degrees): 4.552 4.552 3.557 90.00 90.00 120.00
Element x y z (fractional)
1 Ce 0.000 0.000 0.000
2 Zn 0.333 0.667 0.500
3 Ga 0.667 0.333 0.500